Entry from Alexandria via LeMat-Bulk: a relaxed AlCr2Cl crystal (GGA-PBEsol).

Lattice parameters (Å, degrees): 4.4224 4.4224 4.4224 60.00 60.00 60.00
Site moments in Bohr magnetons follow the coordinates.
Positions (direct):
Cr: 0.0000 0.0000 0.0000  -2.84
Cr: 0.7500 0.7500 0.7500  3.10
Cl: 0.2500 0.2500 0.2500  0.06
Al: 0.5000 0.5000 0.5000  0.01

## Properties
The formation energy (no corrections) is 708.0 meV/atom. The calculation puts the energy above the lowest structure with this stoichiometry at 645 meV per atom. As for the space group: F-43m (216).